A relaxed structure of AlNiRu2Au. Source: the Alexandria database, functional PBE.

The calculation puts the final energy at -5.17 eV/atom. Its space group is No. 123. The calculation puts the formation energy from the elements at 1.098 eV/atom. As for the spin magnetization: 3.38 μB/f.u.

abc: 4.447 4.669 4.447
angles: 90.00 90.00 90.00
Each line ends with the local moment (μB).
Element x y z (fractional)
Ru 0.000 0.000 0.500  1.60
Ru 0.500 0.000 0.000  0.95
Au 0.000 0.500 0.000  0.02
Al 0.500 0.500 0.500  -0.02
Ni 0.000 0.000 0.000  0.79